Material: TcPb2OF
Method: DFT, PBE
State: optimized geometry

Cell: 5.1640 3.9780 5.1640 Å, 90.00 90.00 90.00°
Last column: nearest neighbours and their distance in Å.
Element x y z (fractional)
F 0.0000 0.0000 0.0000  2 Tc 1.99
Pb 0.5000 0.0000 0.0000  2 F 2.58
Pb 0.0000 0.0000 0.5000  2 F 2.58
O 0.5000 0.5000 0.5000  8 Pb 3.26
Tc 0.0000 0.5000 0.0000  2 F 1.99

calculated density = 8.57 g cm⁻³
space-group type = P4/mmm (123)
ΔE_f (raw) = 0.349 eV per atom
total moment = 2.03 μB/cell